# 1
## NaHf3Mo (GGA-PBEsol)

Data for crystalline NaHf3Mo at its relaxed geometry.

Cell lengths 5.060, 5.060, 5.060 Å; angles 90.00, 90.00, 90.00 degrees
Space group Pm-3m (No. 221)
Symmetry-distinct sites (fractional):
1 Na 0.000 0.000 0.000
2 Hf 0.000 0.500 0.500
3 Mo 0.500 0.500 0.500

Computed properties:
Crystal system: cubic
Formation energy from the elements (eV per atom): 0.872
Total energy (eV/cell): -40.3

# 2
## YSc2TlGa (GGA-PBEsol)

Data for crystalline YSc2TlGa at its relaxed geometry.

Cell lengths 5.332, 5.332, 5.061 Å; angles 90.00, 90.00, 90.00 degrees
Space group P4/mmm (No. 123)
Symmetry-distinct sites (fractional):
1 Y 0.000 0.000 0.000
2 Sc 0.000 0.500 0.500
3 Tl 0.500 0.500 0.500
4 Ga 0.500 0.500 0.000

Computed properties:
Crystal system: tetragonal
Formation energy from the elements (eV per atom): 0.498
Total energy (eV/cell): -23.5

# 3
## SrPt3C (GGA-PBEsol)

Data for crystalline SrPt3C at its relaxed geometry.

Cell lengths 5.103, 5.103, 5.103 Å; angles 90.00, 90.00, 90.00 degrees
Space group Pm-3m (No. 221)
Symmetry-distinct sites (fractional):
1 Sr 0.000 0.000 0.000
2 Pt 0.000 0.000 0.500
3 C 0.500 0.500 0.500

Computed properties:
Crystal system: cubic
Formation energy from the elements (eV per atom): 3.232
Total energy (eV/cell): -16.2